Compound: Dy3Ga4Hg
Source: the Alexandria database
Functional: PBE-GGA
Structure: optimized geometry

Lattice parameters (Å, degrees): 9.1193 9.1193 9.1193 157.37 139.16 47.19
Closest atoms and distances in Å follow each position.
Fractional positions:
Dy 0.0000 0.0000 0.0000  8 Ga 3.05
Dy 0.2865 0.7865 0.5000  6 Ga 2.97-3.01
Dy 0.7135 0.2135 0.5000  6 Ga 2.97-3.01
Ga 0.0840 0.3754 0.7086  1 Ga 2.66, 1 Hg 2.79
Ga 0.3332 0.6246 0.7086  1 Ga 2.66, 1 Hg 2.79
Ga 0.6668 0.3754 0.2914  1 Ga 2.66, 1 Hg 2.79
Ga 0.9160 0.6246 0.2914  1 Ga 2.66, 1 Hg 2.79
Hg 0.5000 0.5000 0.0000  4 Ga 2.79

Properties
DOS(E_F), states/eV/cell: 4.58
Size of the total moment, μB/f.u.: 0.00
Crystal system: orthorhombic
Space group: Immm (71)
E, eV/atom: -3.645